{"formula": "NdTc3Ge3", "functional": "PBE", "state": "relaxed", "total_energy_ev_per_cell": -94.61, "dos_at_fermi_per_ev_atom": 0.94, "delta_e_f_ev_per_fu": 2.4, "vol_a3_per_cell": 312.1, "cell": [[6.783, 0.000, 0.000], [0.000, 6.783, 0.000], [0.000, 0.000, 6.783]], "species": ["Nd", "Nd", "Tc", "Tc", "Tc", "Tc", "Tc", "Tc", "Ge", "Ge", "Ge", "Ge", "Ge", "Ge"], "fractional_positions": [[0.000, 0.000, 0.000], [0.500, 0.500, 0.500], [0.000, 0.250, 0.500], [0.000, 0.750, 0.500], [0.250, 0.500, 0.000], [0.500, 0.000, 0.250], [0.500, 0.000, 0.750], [0.750, 0.500, 0.000], [0.000, 0.500, 0.250], [0.000, 0.500, 0.750], [0.250, 0.000, 0.500], [0.500, 0.250, 0.000], [0.500, 0.750, 0.000], [0.750, 0.000, 0.500]]}